Entry 1:
NpInMoO6 | PBE with a Hubbard U | optimized geometry

abc: 5.4744 5.4744 9.2588
angles: 90.00 90.00 120.00
Closest atoms and distances in Å follow each position.
Atoms (fractional coordinates):
Np (0.3333, 0.6667, 0.2500)  6 O 2.10
Np (0.6667, 0.3333, 0.7500)  6 O 2.10
In (0.3333, 0.6667, 0.7500)  6 O 2.20
In (0.6667, 0.3333, 0.2500)  6 O 2.20
Mo (0.0000, 0.0000, 0.0000)  6 O 2.17
Mo (0.0000, 0.0000, 0.5000)  6 O 2.17
O (0.0156, 0.3399, 0.1278)  1 Np 2.10, 1 Mo 2.17, 1 In 2.20
O (0.0156, 0.6757, 0.3722)  1 Np 2.10, 1 Mo 2.17, 1 In 2.20
O (0.3243, 0.3399, 0.3722)  1 Np 2.10, 1 Mo 2.17, 1 In 2.20
O (0.3243, 0.9844, 0.1278)  1 Np 2.10, 1 Mo 2.17, 1 In 2.20
O (0.3399, 0.0156, 0.6278)  1 Np 2.10, 1 Mo 2.17, 1 In 2.20
O (0.3399, 0.3243, 0.8722)  1 Np 2.10, 1 Mo 2.17, 1 In 2.20
O (0.6601, 0.6757, 0.1278)  1 Np 2.10, 1 Mo 2.17, 1 In 2.20
O (0.6601, 0.9844, 0.3722)  1 Np 2.10, 1 Mo 2.17, 1 In 2.20
O (0.6757, 0.0156, 0.8722)  1 Np 2.10, 1 Mo 2.17, 1 In 2.20
O (0.6757, 0.6601, 0.6278)  1 Np 2.10, 1 Mo 2.17, 1 In 2.20
O (0.9844, 0.3243, 0.6278)  1 Np 2.10, 1 Mo 2.17, 1 In 2.20
O (0.9844, 0.6601, 0.8722)  1 Np 2.10, 1 Mo 2.17, 1 In 2.20

**E_tot**: -141.97 eV per cell
**Crystal system**: trigonal

=====

Entry 2:
In3MoO | PBE with a Hubbard U | optimized geometry

abc: 4.7980 4.7980 4.7980
angles: 90.00 90.00 90.00
Closest atoms and distances in Å follow each position.
Atoms (fractional coordinates):
In (0.0000, 0.0000, 0.5000)  2 O 2.40
In (0.0000, 0.5000, 0.0000)  2 O 2.40
In (0.5000, 0.0000, 0.0000)  2 O 2.40
Mo (0.5000, 0.5000, 0.5000)  12 In 3.39
O (0.0000, 0.0000, 0.0000)  6 In 2.40

**Relative energy among the computed polymorphs**: 0.000 eV/f.u.
**Crystal system**: cubic
**Fermi-level density of states**: 0.578 states/eV/atom

=====

Entry 3:
InMo4O12 | PBE with a Hubbard U | optimized geometry

abc: 6.6502 6.6502 6.6502
angles: 111.20 109.64 107.60
Closest atoms and distances in Å follow each position.
Atoms (fractional coordinates):
In (0.0000, 0.0000, 0.0000)  4 O 2.17
Mo (0.0000, 0.0000, 0.5000)  6 O 1.93-2.03
Mo (0.0000, 0.5000, 0.0000)  6 O 1.93-2.03
Mo (0.5000, 0.0000, 0.0000)  6 O 1.93-2.03
Mo (0.5000, 0.5000, 0.5000)  6 O 1.93-2.03
O (0.0105, 0.7149, 0.2956)  2 Mo 1.93
O (0.2096, 0.1939, 0.4035)  2 Mo 2.03, 1 In 2.17
O (0.2096, 0.8061, 0.0157)  2 Mo 2.03, 1 In 2.17
O (0.2755, 0.0740, 0.7984)  2 Mo 1.96
O (0.2755, 0.4771, 0.2016)  2 Mo 1.96
O (0.4193, 0.7149, 0.7044)  2 Mo 1.93
O (0.5807, 0.2851, 0.2956)  2 Mo 1.93
O (0.7245, 0.5229, 0.7984)  2 Mo 1.96
O (0.7245, 0.9260, 0.2016)  2 Mo 1.96
O (0.7904, 0.1939, 0.9843)  2 Mo 2.03, 1 In 2.17
O (0.7904, 0.8061, 0.5965)  2 Mo 2.03, 1 In 2.17
O (0.9895, 0.2851, 0.7044)  2 Mo 1.93

**E_tot**: -116.03 eV per cell
**Crystal system**: orthorhombic
**Fermi-level density of states**: 0.175 states/eV/atom

=====

Entry 4:
InMoO2 | PBE with a Hubbard U | optimized geometry

abc: 4.1127 4.1127 4.1127
angles: 60.00 60.00 60.00
Closest atoms and distances in Å follow each position.
Atoms (fractional coordinates):
In (0.0000, 0.0000, 0.0000)  8 O 2.52
Mo (0.5000, 0.5000, 0.5000)  8 O 2.52
O (0.2500, 0.2500, 0.2500)  4 Mo 2.52, 4 In 2.52
O (0.7500, 0.7500, 0.7500)  4 In 2.52, 4 Mo 2.52

**Relative energy among the computed polymorphs**: 4.075 eV/f.u.
**Crystal system**: cubic
**Fermi-level density of states**: 0.258 states/eV/atom

=====

Entry 5:
In2Mo3O8 | PBE with a Hubbard U | optimized geometry

abc: 7.0047 7.0047 9.1804
angles: 90.00 90.00 125.42
Closest atoms and distances in Å follow each position.
Atoms (fractional coordinates):
In (0.1283, 0.8717, 0.8856)  4 O 2.05-2.18
In (0.3717, 0.6283, 0.3856)  4 O 2.05-2.18
In (0.6283, 0.3717, 0.6144)  4 O 2.05-2.18
In (0.8717, 0.1283, 0.1144)  4 O 2.05-2.18
Mo (0.0000, 0.0000, 0.5000)  6 O 2.06-2.17
Mo (0.1194, 0.3806, 0.7500)  6 O 2.12-2.22
Mo (0.3806, 0.1194, 0.2500)  6 O 2.12-2.22
Mo (0.5000, 0.5000, 0.0000)  6 O 2.06-2.17
Mo (0.6194, 0.8806, 0.7500)  6 O 2.12-2.22
Mo (0.8806, 0.6194, 0.2500)  6 O 2.12-2.22
O (0.0075, 0.9925, 0.2643)  3 Mo 2.17-2.22, 1 In 2.18
O (0.1220, 0.3461, 0.5163)  2 Mo 2.06-2.16, 1 In 2.10
O (0.1539, 0.3780, 0.9837)  2 Mo 2.06-2.16, 1 In 2.10
O (0.2416, 0.7584, 0.2489)  1 In 2.05, 2 Mo 2.12
O (0.2584, 0.7416, 0.7489)  1 In 2.05, 2 Mo 2.12
O (0.3461, 0.1220, 0.4837)  2 Mo 2.06-2.16, 1 In 2.10
O (0.3780, 0.1539, 0.0163)  2 Mo 2.06-2.16, 1 In 2.10
O (0.4925, 0.5075, 0.7643)  3 Mo 2.17-2.22, 1 In 2.18
O (0.5075, 0.4925, 0.2357)  3 Mo 2.17-2.22, 1 In 2.18
O (0.6220, 0.8461, 0.9837)  2 Mo 2.06-2.16, 1 In 2.10
O (0.6539, 0.8780, 0.5163)  2 Mo 2.06-2.16, 1 In 2.10
O (0.7416, 0.2584, 0.2511)  1 In 2.05, 2 Mo 2.12
O (0.7584, 0.2416, 0.7511)  1 In 2.05, 2 Mo 2.12
O (0.8461, 0.6220, 0.0163)  2 Mo 2.06-2.16, 1 In 2.10
O (0.8780, 0.6539, 0.4837)  2 Mo 2.06-2.16, 1 In 2.10
O (0.9925, 0.0075, 0.7357)  3 Mo 2.17-2.22, 1 In 2.18

**E_tot**: -172.91 eV per cell
**Crystal system**: orthorhombic

=====

Entry 6:
InMoO3 | PBE with a Hubbard U | optimized geometry

abc: 4.0970 4.0970 4.0970
angles: 90.00 90.00 90.00
Closest atoms and distances in Å follow each position.
Atoms (fractional coordinates):
In (0.0000, 0.0000, 0.0000)  6 O 2.05
Mo (0.5000, 0.5000, 0.5000)  12 O 2.90
O (0.0000, 0.0000, 0.5000)  2 In 2.05
O (0.0000, 0.5000, 0.0000)  2 In 2.05
O (0.5000, 0.0000, 0.0000)  2 In 2.05

**E_tot**: -26.51 eV per cell
**Crystal system**: cubic
**Fermi-level density of states**: 0.433 states/eV/atom

=====

Entry 7:
In3MoO7 | PBE with a Hubbard U | optimized geometry

abc: 6.3964 6.3964 7.2561
angles: 90.00 90.00 108.28
Closest atoms and distances in Å follow each position.
Atoms (fractional coordinates):
In (0.0252, 0.5001, 0.2545)  6 O 2.18-2.35
In (0.0423, 0.0423, 0.0000)  6 O 2.28-2.34
In (0.5001, 0.0252, 0.7455)  6 O 2.18-2.35
In (0.4999, 0.9748, 0.2455)  6 O 2.18-2.35
In (0.9577, 0.9577, 0.5000)  6 O 2.28-2.34
In (0.9748, 0.4999, 0.7545)  6 O 2.18-2.35
Mo (0.4923, 0.4923, 0.5000)  6 O 1.92-2.05
Mo (0.5077, 0.5077, 0.0000)  6 O 1.92-2.05
O (0.1297, 0.8703, 0.7500)  4 In 2.26-2.28
O (0.1395, 0.8605, 0.2500)  4 In 2.19-2.34
O (0.1711, 0.4193, 0.9758)  1 Mo 2.05, 2 In 2.20-2.30
O (0.1827, 0.4485, 0.5318)  1 Mo 1.92
O (0.4193, 0.1711, 0.0242)  1 Mo 2.05, 2 In 2.20-2.30
O (0.4301, 0.5699, 0.2500)  2 Mo 1.95
O (0.4485, 0.1827, 0.4682)  1 Mo 1.92
O (0.5515, 0.8173, 0.9682)  1 Mo 1.92
O (0.5699, 0.4301, 0.7500)  2 Mo 1.95
O (0.5807, 0.8289, 0.5242)  1 Mo 2.05, 2 In 2.20-2.30
O (0.8173, 0.5515, 0.0318)  1 Mo 1.92
O (0.8289, 0.5807, 0.4758)  1 Mo 2.05, 2 In 2.20-2.30
O (0.8605, 0.1395, 0.7500)  4 In 2.19-2.34
O (0.8703, 0.1297, 0.2500)  4 In 2.26-2.28

**E_tot**: -133.38 eV per cell
**Crystal system**: orthorhombic

=====

Entry 8:
InMoO2 | PBE with a Hubbard U | optimized geometry

abc: 6.9153 6.9153 6.9153
angles: 27.21 27.21 27.21
Closest atoms and distances in Å follow each position.
Atoms (fractional coordinates):
In (0.0000, 0.0000, 0.0000)  2 O 2.26
Mo (0.5000, 0.5000, 0.5000)  6 O 2.16
O (0.1134, 0.1134, 0.1134)  3 Mo 2.16, 1 In 2.26
O (0.8866, 0.8866, 0.8866)  3 Mo 2.16, 1 In 2.26

**Relative energy among the computed polymorphs**: 0.000 eV/f.u.
**Crystal system**: trigonal
**Fermi-level density of states**: 0.087 states/eV/atom